## InBSb2Ru (PBE)

Data for an optimized crystal structure of InBSb2Ru.

## Properties
- total moment (μB per formula unit) = 0.1
- formation energy without anion corrections (meV per atom) = 1038
- raw total energy (eV/atom) = -4.3493

a = 4.892 Å, b = 4.892 Å, c = 4.280 Å
α = 90.00°, β = 90.00°, γ = 90.00°
Space group P4/mmm (No. 123)
Inequivalent atoms, fractional coordinates:
In 0.000 0.000 0.000 (multiplicity 1)
B 0.000 0.000 0.500 (multiplicity 1)
Sb 0.000 0.500 0.500 (multiplicity 2)
Ru 0.500 0.500 0.000 (multiplicity 1)